No. 1
# TaReMo2 (PBEsol, optimized geometry)
# ΔE_f = -118 meV/atom
# density of states at the Fermi level = 0.5350 states/eV per atom
# distance to the lowest polymorph of the same formula = 44 meV/atom
data_TaReMo2
_cell_length_a 4.452
_cell_length_b 4.452
_cell_length_c 3.143
_cell_angle_alpha 90.00
_cell_angle_beta 90.00
_cell_angle_gamma 90.00
_symmetry_space_group_name_H-M 'P 4/m m m'
_symmetry_Int_Tables_number 123
_symmetry_space_group_name_Hall '-P 4 2'
loop_
_atom_site_label
_atom_site_type_symbol
_atom_site_fract_x
_atom_site_fract_y
_atom_site_fract_z
Ta1 Ta 0.000 0.000 0.000
Re1 Re 0.500 0.500 0.000
Mo1 Mo 0.000 0.500 0.500

---

No. 2
# TaReMo2 (PBEsol, optimized geometry)
# ΔE_f = -149 meV/atom
# density of states at the Fermi level = 0.5905 states/eV per atom
# distance to the lowest polymorph of the same formula = 13 meV/atom
data_TaReMo2
_cell_length_a 3.144
_cell_length_b 3.144
_cell_length_c 6.316
_cell_angle_alpha 90.00
_cell_angle_beta 90.00
_cell_angle_gamma 90.00
_symmetry_space_group_name_H-M 'P 4 m m'
_symmetry_Int_Tables_number 99
_symmetry_space_group_name_Hall 'P 4 -2'
loop_
_atom_site_label
_atom_site_type_symbol
_atom_site_fract_x
_atom_site_fract_y
_atom_site_fract_z
Ta1 Ta 0.000 0.000 0.000
Re1 Re 0.500 0.500 0.747
Mo1 Mo 0.000 0.000 0.498
Mo2 Mo 0.500 0.500 0.257

---

No. 3
# Re2TcMo (PBEsol, optimized geometry)
# ΔE_f = 128 meV/atom
# density of states at the Fermi level = 0.8634 states/eV per atom
# distance to the lowest polymorph of the same formula = 0 meV/atom
data_Re2TcMo
_cell_length_a 5.505
_cell_length_b 7.752
_cell_length_c 2.752
_cell_angle_alpha 90.00
_cell_angle_beta 90.00
_cell_angle_gamma 90.00
_symmetry_space_group_name_H-M 'C m m m'
_symmetry_Int_Tables_number 65
_symmetry_space_group_name_Hall '-C 2 2'
loop_
_atom_site_label
_atom_site_type_symbol
_atom_site_fract_x
_atom_site_fract_y
_atom_site_fract_z
Re1 Re 0.250 0.250 0.000
Tc1 Tc 0.000 0.000 0.500
Mo1 Mo 0.000 0.500 0.500

---

No. 4
# ReTcMo2 (PBEsol, optimized geometry)
# ΔE_f = 90 meV/atom
# density of states at the Fermi level = 0.7856 states/eV per atom
# distance to the lowest polymorph of the same formula = 0 meV/atom
data_ReTcMo2
_cell_length_a 3.109
_cell_length_b 4.369
_cell_length_c 8.739
_cell_angle_alpha 90.00
_cell_angle_beta 90.00
_cell_angle_gamma 90.00
_symmetry_space_group_name_H-M 'I m m 2'
_symmetry_Int_Tables_number 44
_symmetry_space_group_name_Hall 'I 2 -2'
loop_
_atom_site_label
_atom_site_type_symbol
_atom_site_fract_x
_atom_site_fract_y
_atom_site_fract_z
Re1 Re 0.000 0.000 0.000
Tc1 Tc 0.000 0.500 0.762
Mo1 Mo 0.000 0.000 0.514
Mo2 Mo 0.000 0.500 0.253

---

No. 5
# ReTc2Mo (PBEsol, optimized geometry)
# ΔE_f = 125 meV/atom
# density of states at the Fermi level = 0.9043 states/eV per atom
# distance to the lowest polymorph of the same formula = 0 meV/atom
data_ReTc2Mo
_cell_length_a 2.728
_cell_length_b 2.728
_cell_length_c 7.815
_cell_angle_alpha 90.00
_cell_angle_beta 90.00
_cell_angle_gamma 90.00
_symmetry_space_group_name_H-M 'P 4 m m'
_symmetry_Int_Tables_number 99
_symmetry_space_group_name_Hall 'P 4 -2'
loop_
_atom_site_label
_atom_site_type_symbol
_atom_site_fract_x
_atom_site_fract_y
_atom_site_fract_z
Re1 Re 0.000 0.000 0.000
Tc1 Tc 0.000 0.000 0.480
Tc2 Tc 0.500 0.500 0.242
Mo1 Mo 0.500 0.500 0.739

---

No. 6
# ReTc2Mo (PBEsol, optimized geometry)
# ΔE_f = 128 meV/atom
# density of states at the Fermi level = 0.8760 states/eV per atom
# distance to the lowest polymorph of the same formula = 3 meV/atom
data_ReTc2Mo
_cell_length_a 2.742
_cell_length_b 3.865
_cell_length_c 5.484
_cell_angle_alpha 90.00
_cell_angle_beta 90.00
_cell_angle_gamma 90.00
_symmetry_space_group_name_H-M 'P m m 2'
_symmetry_Int_Tables_number 25
_symmetry_space_group_name_Hall 'P 2 -2'
loop_
_atom_site_label
_atom_site_type_symbol
_atom_site_fract_x
_atom_site_fract_y
_atom_site_fract_z
Re1 Re 0.000 0.000 0.000
Tc1 Tc 0.000 0.000 0.489
Tc2 Tc 0.500 0.500 0.244
Mo1 Mo 0.500 0.500 0.741

---

No. 7
# ReTc2Mo (PBEsol, optimized geometry)
# ΔE_f = 194 meV/atom
# density of states at the Fermi level = 1.0722 states/eV per atom
# distance to the lowest polymorph of the same formula = 69 meV/atom
data_ReTc2Mo
_cell_length_a 3.074
_cell_length_b 3.074
_cell_length_c 6.156
_cell_angle_alpha 90.00
_cell_angle_beta 90.00
_cell_angle_gamma 90.00
_symmetry_space_group_name_H-M 'P 4/m m m'
_symmetry_Int_Tables_number 123
_symmetry_space_group_name_Hall '-P 4 2'
loop_
_atom_site_label
_atom_site_type_symbol
_atom_site_fract_x
_atom_site_fract_y
_atom_site_fract_z
Re1 Re 0.000 0.000 0.000
Tc1 Tc 0.500 0.500 0.256
Mo1 Mo 0.000 0.000 0.500

---

No. 8
# ReTcMo2 (PBEsol, optimized geometry)
# ΔE_f = 94 meV/atom
# density of states at the Fermi level = 1.0269 states/eV per atom
# distance to the lowest polymorph of the same formula = 5 meV/atom
data_ReTcMo2
_cell_length_a 6.192
_cell_length_b 6.192
_cell_length_c 6.192
_cell_angle_alpha 90.00
_cell_angle_beta 90.00
_cell_angle_gamma 90.00
_symmetry_space_group_name_H-M 'F m -3 m'
_symmetry_Int_Tables_number 225
_symmetry_space_group_name_Hall '-F 4 2 3'
loop_
_atom_site_label
_atom_site_type_symbol
_atom_site_fract_x
_atom_site_fract_y
_atom_site_fract_z
Re1 Re 0.000 0.000 0.000
Tc1 Tc 0.000 0.000 0.500
Mo1 Mo 0.250 0.250 0.250

---

No. 9
# ReTcMo (PBEsol, optimized geometry)
# ΔE_f = 171 meV/atom
# density of states at the Fermi level = 1.0967 states/eV per atom
data_ReTcMo
_cell_length_a 3.080
_cell_length_b 4.370
_cell_length_c 13.106
_cell_angle_alpha 90.00
_cell_angle_beta 90.00
_cell_angle_gamma 90.00
_symmetry_space_group_name_H-M 'F m m 2'
_symmetry_Int_Tables_number 42
_symmetry_space_group_name_Hall 'F 2 -2'
loop_
_atom_site_label
_atom_site_type_symbol
_atom_site_fract_x
_atom_site_fract_y
_atom_site_fract_z
Re1 Re 0.000 0.000 0.000
Tc1 Tc 0.000 0.000 0.666
Mo1 Mo 0.000 0.000 0.332

---

No. 10
# ReTc2Mo (PBEsol, optimized geometry)
# ΔE_f = 188 meV/atom
# density of states at the Fermi level = 1.1274 states/eV per atom
# distance to the lowest polymorph of the same formula = 62 meV/atom
data_ReTc2Mo
_cell_length_a 6.150
_cell_length_b 6.150
_cell_length_c 6.150
_cell_angle_alpha 90.00
_cell_angle_beta 90.00
_cell_angle_gamma 90.00
_symmetry_space_group_name_H-M 'F m -3 m'
_symmetry_Int_Tables_number 225
_symmetry_space_group_name_Hall '-F 4 2 3'
loop_
_atom_site_label
_atom_site_type_symbol
_atom_site_fract_x
_atom_site_fract_y
_atom_site_fract_z
Re1 Re 0.000 0.000 0.000
Tc1 Tc 0.250 0.250 0.250
Mo1 Mo 0.000 0.000 0.500

---

No. 11
# ReTc2Mo (PBEsol, optimized geometry)
# ΔE_f = 126 meV/atom
# density of states at the Fermi level = 0.8806 states/eV per atom
# distance to the lowest polymorph of the same formula = 1 meV/atom
data_ReTc2Mo
_cell_length_a 3.871
_cell_length_b 3.871
_cell_length_c 7.755
_cell_angle_alpha 90.00
_cell_angle_beta 90.00
_cell_angle_gamma 90.00
_symmetry_space_group_name_H-M 'I -4 m 2'
_symmetry_Int_Tables_number 119
_symmetry_space_group_name_Hall 'I -4 -2'
loop_
_atom_site_label
_atom_site_type_symbol
_atom_site_fract_x
_atom_site_fract_y
_atom_site_fract_z
Re1 Re 0.000 0.000 0.000
Tc1 Tc 0.000 0.000 0.500
Tc2 Tc 0.000 0.500 0.250
Mo1 Mo 0.000 0.500 0.750

---

No. 12
# ReTc2Mo (PBEsol, optimized geometry)
# ΔE_f = 200 meV/atom
# density of states at the Fermi level = 1.1869 states/eV per atom
# distance to the lowest polymorph of the same formula = 75 meV/atom
data_ReTc2Mo
_cell_length_a 3.047
_cell_length_b 4.373
_cell_length_c 8.740
_cell_angle_alpha 90.00
_cell_angle_beta 90.00
_cell_angle_gamma 90.00
_symmetry_space_group_name_H-M 'C m m m'
_symmetry_Int_Tables_number 65
_symmetry_space_group_name_Hall '-C 2 2'
loop_
_atom_site_label
_atom_site_type_symbol
_atom_site_fract_x
_atom_site_fract_y
_atom_site_fract_z
Re1 Re 0.000 0.000 0.000
Tc1 Tc 0.000 0.500 0.250
Mo1 Mo 0.000 0.000 0.500

---

Number 1: electronic total energy -12.473 eV/atom. Number 2: electronic total energy -12.504 eV/atom. Number 3: electronic total energy -12.296 eV/atom. Number 4: electronic total energy -11.944 eV/atom. Number 5: electronic total energy -11.783 eV/atom. Number 6: electronic total energy -11.780 eV/atom. Number 7: electronic total energy -11.714 eV/atom. Number 8: electronic total energy -11.939 eV/atom. Number 9: electronic total energy -11.951 eV/atom. Number 10: electronic total energy -11.721 eV/atom. Number 11: electronic total energy -11.782 eV/atom. Number 12: electronic total energy -11.708 eV/atom.